# PBE TaBi, optimized geometry
# **E_tot**: -7.1422 eV/atom
# **Space group**: No. 194
data_TaBi
_cell_length_a 3.605
_cell_length_b 3.605
_cell_length_c 8.008
_cell_angle_alpha 90.00
_cell_angle_beta 90.00
_cell_angle_gamma 120.00
_space_group_name_H-M_alt 'P 1'
_space_group_IT_number 1
_space_group_name_Hall 'P 1'
loop_
_atom_site_label
_atom_site_fract_x
_atom_site_fract_y
_atom_site_fract_z
_atom_site_occupancy
Ta1 0.333 0.667 0.250 1
Ta2 0.667 0.333 0.750 1
Bi1 0.000 0.000 0.000 1
Bi2 0.000 0.000 0.500 1